Entry from Alexandria: a geometry-optimized SrSnP2Pd4 structure (PBE).

The structure in extended XYZ format:
```
8
Lattice="-3.379 -1.486 -2.245 0.981 -4.035 1.193 -4.636 0.783 6.460" Properties=species:S:1:pos:R:3 pbc="T T T"
P -4.177 -2.257 3.624
Pd -5.370 -0.121 4.006
Sn 0.000 0.000 0.000
P -2.857 -2.480 1.784
Pd -0.465 -1.856 1.928
Pd -3.190 -1.395 5.725
Sr -2.318 0.392 3.230
Pd -2.645 -0.581 0.209
```

Computed properties:
* symmetry: P4/mmm
* formation energy from the elements: -65 kJ/mol of atoms
* Fermi-level density of states: 0.50 states/eV per atom

Entry from Alexandria: a geometry-optimized CaSm2Tl structure (PBE).

The structure in extended XYZ format:
```
8
Lattice="4.705 0.000 0.000 -2.353 5.942 0.000 0.000 0.000 9.711" Properties=species:S:1:pos:R:3 pbc="T T T"
Sm -0.001 4.220 5.322
Sm 2.353 1.722 4.389
Ca 0.000 0.687 7.283
Ca 2.353 5.255 2.428
Tl 0.000 2.859 2.428
Sm 2.353 1.722 0.466
Sm -0.001 4.220 9.244
Tl 2.352 3.083 7.283
```

Computed properties:
* symmetry: Cmcm
* formation energy from the elements: -10 kJ/mol of atoms
* Fermi-level density of states: 1.10 states/eV per atom

Entry from Alexandria: a geometry-optimized SrGeF structure (PBE).

The structure in extended XYZ format:
```
18
Lattice="-0.393 3.007 2.727 -0.281 -3.889 1.197 26.975 -0.563 4.505" Properties=species:S:1:pos:R:3 pbc="T T T"
Ge 22.904 -0.478 3.825
F 7.691 -1.757 3.045
Sr 19.567 -0.408 3.268
F 25.637 0.166 6.559
F 18.527 -1.983 4.855
Ge 4.565 0.606 3.039
Sr 10.258 -1.811 3.474
Sr 6.997 -0.146 1.169
F 9.499 0.503 3.863
Ge 12.859 -0.268 2.148
Sr 1.229 0.675 2.482
Sr 15.633 0.375 4.888
Ge 13.594 -1.880 4.031
Ge 21.495 0.252 5.867
Ge 3.549 -1.671 2.353
Sr 24.662 -2.111 5.880
F 17.001 -0.355 2.840
F 0.863 -0.018 0.144
```

Computed properties:
* symmetry: R3m
* E_form (uncorrected): -6.4 eV/f.u.

Entry from Alexandria: a geometry-optimized Pm4N3O structure (PBE).

The structure in extended XYZ format:
```
8
Lattice="-0.900 3.469 0.247 -2.494 -1.046 5.600 4.342 0.815 4.377" Properties=species:S:1:pos:R:3 pbc="T T T"
Pm 0.451 3.286 7.736
N 3.441 4.284 4.624
N 1.720 2.142 2.312
Pm -1.232 1.153 5.436
Pm -0.404 3.420 2.735
N 0.023 3.353 5.235
O 2.644 2.026 7.300
Pm 2.179 2.084 4.789
```

Computed properties:
* symmetry: Cmmm
* Fermi-level density of states: 0.19 states/eV per atom
* E_form (uncorrected): -14.8 eV/f.u.

Entry from Alexandria: a geometry-optimized ZrScCl6 structure (PBE).

The structure in extended XYZ format:
```
8
Lattice="-6.225 -0.269 -0.157 1.236 -6.708 1.967 0.642 5.886 3.916" Properties=species:S:1:pos:R:3 pbc="T T T"
Cl -1.002 -2.015 1.145
Sc 0.000 0.000 0.000
Cl -0.154 -0.682 4.358
Cl -3.344 0.924 4.581
Cl -1.167 1.475 1.685
Zr -2.173 -0.546 2.863
Cl -4.192 -0.410 1.368
Cl -3.180 -2.566 4.041
```

Computed properties:
* symmetry: C2/m
* Fermi-level density of states: 0.37 states/eV per atom
* E_form (uncorrected): -14.8 eV/f.u.

Entry from Alexandria: a geometry-optimized YSc4Tl structure (PBE).

The structure in extended XYZ format:
```
6
Lattice="2.606 -5.273 1.411 -0.729 -2.351 5.525 -3.398 -4.946 0.758" Properties=species:S:1:pos:R:3 pbc="T T T"
Tl -1.141 -9.427 5.771
Sc -2.283 -7.194 3.260
Sc -0.936 -5.885 5.664
Sc -0.569 -4.700 2.877
Y 0.000 0.000 0.000
Sc 0.746 -7.359 3.589
```

Computed properties:
* symmetry: F-43m
* formation energy from the elements: 13 kJ/mol of atoms
* Fermi-level density of states: 1.42 states/eV per atom

Number 1: total magnetic moment 0.00 μB/cell, final energy -42.7 eV per cell. Number 2: total magnetic moment 0.00 μB/cell, final energy -28.4 eV per cell. Number 3: total magnetic moment 0.00 μB/cell, final energy -87.5 eV per cell. Number 4: total magnetic moment 0.00 μB/cell, final energy -63.8 eV per cell. Number 5: total magnetic moment 0.90 μB/cell, final energy -40.8 eV per cell. Number 6: total magnetic moment 0.87 μB/cell, final energy -33.3 eV per cell.